# 1
# LiGa3Sn3, relaxed, DFT PBE
data_LiGa3Sn3
_space_group_name_H-M_alt 'P m -3 n'
_space_group_IT_number 223
_space_group_name_Hall '-P 4n 2 3'
_cell_length_a 7.6508
_cell_length_b 7.6508
_cell_length_c 7.6508
_cell_angle_alpha 90.00
_cell_angle_beta 90.00
_cell_angle_gamma 90.00
loop_
_atom_site_label
_atom_site_type_symbol
_atom_site_fract_x
_atom_site_fract_y
_atom_site_fract_z
Li1 Li 0.0000 0.0000 0.0000
Ga1 Ga 0.0000 0.2500 0.5000
Sn1 Sn 0.0000 0.5000 0.2500
# - Calculated volume: 447.8 Å³/cell
# - Total magnetization: 0.0 μB per formula unit
# - DFT formation energy: 0.1828 eV/atom
# - Density of states at the Fermi level: 0.73 states/eV/atom
# - Calculated total energy: -43.447 eV per cell

***

# 2
# Li2GaSn2, relaxed, DFT PBE
data_Li2GaSn2
_space_group_name_H-M_alt 'P 4/m b m'
_space_group_IT_number 127
_space_group_name_Hall '-P 4 2ab'
_cell_length_a 6.8430
_cell_length_b 6.8430
_cell_length_c 4.3487
_cell_angle_alpha 90.00
_cell_angle_beta 90.00
_cell_angle_gamma 90.00
loop_
_atom_site_label
_atom_site_type_symbol
_atom_site_fract_x
_atom_site_fract_y
_atom_site_fract_z
Li1 Li 0.1397 0.3603 0.0000
Ga1 Ga 0.0000 0.0000 0.0000
Sn1 Sn 0.1654 0.6654 0.5000
# - Calculated volume: 203.6 Å³/cell
# - Total magnetization: 0.0 μB per formula unit
# - DFT formation energy: -0.1653 eV/atom
# - Relative energy among the computed polymorphs: 42 meV per atom
# - Density of states at the Fermi level: 0.45 states/eV/atom
# - Calculated total energy: -31.374 eV per cell

***

# 3
# Li2GaSn2, relaxed, DFT PBE
data_Li2GaSn2
_space_group_name_H-M_alt 'I b a m'
_space_group_IT_number 72
_space_group_name_Hall '-I 2 2c'
_cell_length_a 7.1562
_cell_length_b 10.8615
_cell_length_c 5.3495
_cell_angle_alpha 90.00
_cell_angle_beta 90.00
_cell_angle_gamma 90.00
loop_
_atom_site_label
_atom_site_type_symbol
_atom_site_fract_x
_atom_site_fract_y
_atom_site_fract_z
Li1 Li 0.1711 0.0626 0.0000
Ga1 Ga 0.0000 0.5000 0.2500
Sn1 Sn 0.1679 0.2016 0.5000
# - Calculated volume: 415.8 Å³/cell
# - Total magnetization: 0.0 μB per formula unit
# - DFT formation energy: -0.1607 eV/atom
# - Relative energy among the computed polymorphs: 46 meV per atom
# - Density of states at the Fermi level: 0.33 states/eV/atom
# - Calculated total energy: -62.655 eV per cell

***

# 4
# Li4Ga2Sn3, relaxed, DFT PBE
data_Li4Ga2Sn3
_space_group_name_H-M_alt 'P -1'
_space_group_IT_number 2
_cell_length_a 5.1324
_cell_length_b 5.2025
_cell_length_c 7.6864
_cell_angle_alpha 85.27
_cell_angle_beta 85.44
_cell_angle_gamma 61.43
loop_
_space_group_symop_operation_xyz
'x,y,z'
'-x,-y,-z'
loop_
_atom_site_label
_atom_site_type_symbol
_atom_site_fract_x
_atom_site_fract_y
_atom_site_fract_z
Li1 Li 0.0108 0.2499 0.3437
Li2 Li 0.3352 0.3279 0.9943
Ga1 Ga 0.3408 0.0660 0.6664
Sn1 Sn 0.0000 0.0000 0.0000
Sn2 Sn 0.3354 0.5935 0.3247
# - Calculated volume: 179.4 Å³/cell
# - Total magnetization: 0.0 μB per formula unit
# - DFT formation energy: -0.2483 eV/atom
# - Density of states at the Fermi level: 0.26 states/eV/atom
# - Calculated total energy: -27.952 eV per cell

***

# 5
# LiGa4Sn, relaxed, DFT PBE
data_LiGa4Sn
_space_group_name_H-M_alt 'F -4 3 m'
_space_group_IT_number 216
_space_group_name_Hall 'F -4 2 3'
_cell_length_a 7.9001
_cell_length_b 7.9001
_cell_length_c 7.9001
_cell_angle_alpha 90.00
_cell_angle_beta 90.00
_cell_angle_gamma 90.00
loop_
_atom_site_label
_atom_site_type_symbol
_atom_site_fract_x
_atom_site_fract_y
_atom_site_fract_z
Li1 Li 0.0000 0.0000 0.0000
Ga1 Ga 0.1259 0.1259 0.6259
Sn1 Sn 0.2500 0.2500 0.2500
# - Calculated volume: 493.1 Å³/cell
# - Total magnetization: 0.0 μB per formula unit
# - DFT formation energy: -0.0437 eV/atom
# - Relative energy among the computed polymorphs: 29 meV per atom
# - Density of states at the Fermi level: 0.53 states/eV/atom
# - Calculated total energy: -73.146 eV per cell

***

# 6
# LiGa2Sn2, relaxed, DFT PBE
data_LiGa2Sn2
_space_group_name_H-M_alt 'I 4/m m m'
_space_group_IT_number 139
_space_group_name_Hall '-I 4 2'
_cell_length_a 4.7815
_cell_length_b 4.7815
_cell_length_c 11.1036
_cell_angle_alpha 90.00
_cell_angle_beta 90.00
_cell_angle_gamma 90.00
loop_
_atom_site_label
_atom_site_type_symbol
_atom_site_fract_x
_atom_site_fract_y
_atom_site_fract_z
Li1 Li 0.0000 0.0000 0.0000
Ga1 Ga 0.0000 0.0000 0.3898
Sn1 Sn 0.0000 0.5000 0.2500
# - Calculated volume: 253.9 Å³/cell
# - Total magnetization: 0.0 μB per formula unit
# - DFT formation energy: -0.0075 eV/atom
# - Relative energy among the computed polymorphs: 52 meV per atom
# - Density of states at the Fermi level: 0.43 states/eV/atom
# - Calculated total energy: -32.021 eV per cell

***

# 7
# Li5Ga4Sn, relaxed, DFT PBE
data_Li5Ga4Sn
_space_group_name_H-M_alt 'P 4/m m m'
_space_group_IT_number 123
_space_group_name_Hall '-P 4 2'
_cell_length_a 3.2564
_cell_length_b 3.2564
_cell_length_c 15.5376
_cell_angle_alpha 90.00
_cell_angle_beta 90.00
_cell_angle_gamma 90.00
loop_
_atom_site_label
_atom_site_type_symbol
_atom_site_fract_x
_atom_site_fract_y
_atom_site_fract_z
Li1 Li 0.0000 0.0000 0.0000
Li2 Li 0.0000 0.0000 0.1889
Li3 Li 0.0000 0.0000 0.3823
Ga1 Ga 0.5000 0.5000 0.0936
Ga2 Ga 0.5000 0.5000 0.2824
Sn1 Sn 0.5000 0.5000 0.5000
# - Calculated volume: 164.8 Å³/cell
# - Total magnetization: 0.0 μB per formula unit
# - DFT formation energy: -0.2764 eV/atom
# - Density of states at the Fermi level: 0.27 states/eV/atom
# - Calculated total energy: -28.443 eV per cell

***

# 8
# Li6GaSn5, relaxed, DFT PBE
data_Li6GaSn5
_space_group_name_H-M_alt 'C m m m'
_space_group_IT_number 65
_space_group_name_Hall '-C 2 2'
_cell_length_a 4.8684
_cell_length_b 14.6418
_cell_length_c 6.5939
_cell_angle_alpha 90.00
_cell_angle_beta 90.00
_cell_angle_gamma 90.00
loop_
_atom_site_label
_atom_site_type_symbol
_atom_site_fract_x
_atom_site_fract_y
_atom_site_fract_z
Li1 Li 0.0000 0.0000 0.2422
Li2 Li 0.0000 0.3375 0.2429
Ga1 Ga 0.0000 0.5000 0.0000
Sn1 Sn 0.0000 0.1655 0.0000
Sn2 Sn 0.0000 0.1678 0.5000
Sn3 Sn 0.0000 0.5000 0.5000
# - Calculated volume: 470.0 Å³/cell
# - Total magnetization: 0.0 μB per formula unit
# - DFT formation energy: -0.3059 eV/atom
# - Density of states at the Fermi level: 0.29 states/eV/atom
# - Calculated total energy: -76.389 eV per cell

***

# 9
# Li2GaSn2, relaxed, DFT PBE
data_Li2GaSn2
_space_group_name_H-M_alt 'I 4/m m m'
_space_group_IT_number 139
_space_group_name_Hall '-I 4 2'
_cell_length_a 4.1081
_cell_length_b 4.1081
_cell_length_c 13.1875
_cell_angle_alpha 90.00
_cell_angle_beta 90.00
_cell_angle_gamma 90.00
loop_
_atom_site_label
_atom_site_type_symbol
_atom_site_fract_x
_atom_site_fract_y
_atom_site_fract_z
Li1 Li 0.0000 0.5000 0.2500
Ga1 Ga 0.0000 0.0000 0.0000
Sn1 Sn 0.0000 0.0000 0.3957
# - Calculated volume: 222.6 Å³/cell
# - Total magnetization: 0.0 μB per formula unit
# - DFT formation energy: -0.0566 eV/atom
# - Relative energy among the computed polymorphs: 150 meV per atom
# - Density of states at the Fermi level: 0.36 states/eV/atom
# - Calculated total energy: -30.287 eV per cell

***

# 10
# Li3Ga4Sn, relaxed, DFT PBE
data_Li3Ga4Sn
_space_group_name_H-M_alt 'C 1 2/m 1'
_space_group_IT_number 12
_cell_length_a 21.6446
_cell_length_b 3.0394
_cell_length_c 4.5619
_cell_angle_alpha 90.00
_cell_angle_beta 101.69
_cell_angle_gamma 90.00
loop_
_space_group_symop_operation_xyz
'x,y,z'
'-x,-y,-z'
'-x,y,-z'
'x,-y,z'
'x+1/2,y+1/2,z'
'-x+1/2,-y+1/2,-z'
'-x+1/2,y+1/2,-z'
'x+1/2,-y+1/2,z'
loop_
_atom_site_label
_atom_site_type_symbol
_atom_site_fract_x
_atom_site_fract_y
_atom_site_fract_z
Li1 Li 0.0000 0.0000 0.0000
Li2 Li 0.1408 0.0000 0.6460
Ga1 Ga 0.1037 0.5000 0.1096
Ga2 Ga 0.2260 0.5000 0.2284
Sn1 Sn 0.0000 0.5000 0.5000
# - Calculated volume: 293.9 Å³/cell
# - Total magnetization: 0.0 μB per formula unit
# - DFT formation energy: -0.1704 eV/atom
# - Relative energy among the computed polymorphs: 0 meV per atom
# - Density of states at the Fermi level: 0.32 states/eV/atom
# - Calculated total energy: -46.430 eV per cell

***

# 11
# LiGaSn2, relaxed, DFT PBE
data_LiGaSn2
_space_group_name_H-M_alt 'P 4/m m m'
_space_group_IT_number 123
_space_group_name_Hall '-P 4 2'
_cell_length_a 4.5673
_cell_length_b 4.5673
_cell_length_c 4.2823
_cell_angle_alpha 90.00
_cell_angle_beta 90.00
_cell_angle_gamma 90.00
loop_
_atom_site_label
_atom_site_type_symbol
_atom_site_fract_x
_atom_site_fract_y
_atom_site_fract_z
Li1 Li 0.0000 0.0000 0.0000
Ga1 Ga 0.5000 0.5000 0.0000
Sn1 Sn 0.0000 0.5000 0.5000
# - Calculated volume: 89.3 Å³/cell
# - Total magnetization: 0.0 μB per formula unit
# - DFT formation energy: -0.1439 eV/atom
# - Density of states at the Fermi level: 0.55 states/eV/atom
# - Calculated total energy: -13.522 eV per cell

***

# 12
# Li4Ga2Sn, relaxed, DFT PBE
data_Li4Ga2Sn
_space_group_name_H-M_alt 'C 1 2/m 1'
_space_group_IT_number 12
_cell_length_a 7.6121
_cell_length_b 4.3986
_cell_length_c 8.2075
_cell_angle_alpha 90.00
_cell_angle_beta 90.12
_cell_angle_gamma 90.00
loop_
_space_group_symop_operation_xyz
'x,y,z'
'-x,-y,-z'
'-x,y,-z'
'x,-y,z'
'x+1/2,y+1/2,z'
'-x+1/2,-y+1/2,-z'
'-x+1/2,y+1/2,-z'
'x+1/2,-y+1/2,z'
loop_
_atom_site_label
_atom_site_type_symbol
_atom_site_fract_x
_atom_site_fract_y
_atom_site_fract_z
Li1 Li 0.1663 0.0000 0.3968
Li2 Li 0.1675 0.0000 0.7346
Ga1 Ga 0.1668 0.0000 0.0686
Sn1 Sn 0.0000 0.5000 0.5000
# - Calculated volume: 274.8 Å³/cell
# - Total magnetization: 0.0 μB per formula unit
# - DFT formation energy: -0.1265 eV/atom
# - Relative energy among the computed polymorphs: 0 meV per atom
# - Density of states at the Fermi level: 0.43 states/eV/atom
# - Calculated total energy: -37.195 eV per cell

***

Question: What is the formula in the third record?
Answer: Li2GaSn2